[1]
Entry from the Alexandria database: GeTe2F after structural relaxation (GGA-PBE).

## Properties
Total energy: -3.47 eV/atom
Formation energy without anion corrections: -0.276 eV per atom
Spin magnetization: 0.000 Bohr magnetons per cell

Geometry as CIF:
```
data_GeTe2F
_chemical_formula_sum 'Ge4 Te8 F4'
_space_group_name_H-M_alt 'F m -3 m'
_space_group_IT_number 225
_space_group_name_Hall '-F 4 2 3'
_cell_length_a 6.9507
_cell_length_b 6.9507
_cell_length_c 6.9507
_cell_angle_alpha 90.00
_cell_angle_beta 90.00
_cell_angle_gamma 90.00
loop_
_atom_site_label
_atom_site_fract_x
_atom_site_fract_y
_atom_site_fract_z
_atom_site_occupancy
Ge1 0.0000 0.0000 0.0000 1
Te1 0.2500 0.2500 0.2500 1
F1 0.0000 0.0000 0.5000 1
```


[2]
Entry from the Alexandria database: GeTe2F after structural relaxation (GGA-PBE).

## Properties
Total energy: -3.40 eV/atom
Formation energy without anion corrections: -0.208 eV per atom
Spin magnetization: 0.000 Bohr magnetons per cell

Geometry as CIF:
```
data_GeTe2F
_chemical_formula_sum 'Ge3 Te6 F3'
_space_group_name_H-M_alt 'R -3 m'
_space_group_IT_number 166
_space_group_name_Hall '-R 3 2"'
_cell_length_a 3.1858
_cell_length_b 3.1858
_cell_length_c 29.4879
_cell_angle_alpha 90.00
_cell_angle_beta 90.00
_cell_angle_gamma 120.00
loop_
_atom_site_label
_atom_site_fract_x
_atom_site_fract_y
_atom_site_fract_z
_atom_site_occupancy
Ge1 0.0000 0.0000 0.0000 1
Te1 0.0000 0.0000 0.0952 1
F1 0.0000 0.0000 0.5000 1
```


Look up the spin magnetization of the second one.
0.000 Bohr magnetons per cell